# PBE Sm2YEr6, relaxed
# - Energy above the most stable polymorph in this dataset: 38 meV/atom
# - Energy of formation from the pure elements: 0.113 eV/atom
data_Sm2YEr6
_chemical_formula_sum 'Sm8 Y4 Er24'
_cell_length_a 10.5900
_cell_length_b 17.4560
_cell_length_c 6.1629
_cell_angle_alpha 90.00
_cell_angle_beta 94.70
_cell_angle_gamma 90.00
_symmetry_space_group_name_H-M 'C 1 2/c 1'
_symmetry_Int_Tables_number 15
loop_
_symmetry_equiv_pos_as_xyz
'x,y,z'
'-x,-y,-z'
'-x,y,-z+1/2'
'x,-y,z+1/2'
'x+1/2,y+1/2,z'
'-x+1/2,-y+1/2,-z'
'-x+1/2,y+1/2,-z+1/2'
'x+1/2,-y+1/2,z+1/2'
loop_
_atom_site_label
_atom_site_fract_x
_atom_site_fract_y
_atom_site_fract_z
Sm1 0.2502 0.1009 0.9996
Y1 0.0000 0.2499 0.7500
Er1 0.0891 0.0768 0.4974
Er2 0.0891 0.4229 0.4976
Er3 0.1556 0.2497 0.2784

# PBE CaTb2Tl6, relaxed
# - Energy of formation from the pure elements: -0.131 eV/atom
data_CaTb2Tl6
_chemical_formula_sum 'Ca2 Tb4 Tl12'
_cell_length_a 15.4742
_cell_length_b 7.5841
_cell_length_c 4.5092
_cell_angle_alpha 90.00
_cell_angle_beta 91.55
_cell_angle_gamma 90.00
_symmetry_space_group_name_H-M 'C 1 2/m 1'
_symmetry_Int_Tables_number 12
loop_
_symmetry_equiv_pos_as_xyz
'x,y,z'
'-x,-y,-z'
'-x,y,-z'
'x,-y,z'
'x+1/2,y+1/2,z'
'-x+1/2,-y+1/2,-z'
'-x+1/2,y+1/2,-z'
'x+1/2,-y+1/2,z'
loop_
_atom_site_label
_atom_site_fract_x
_atom_site_fract_y
_atom_site_fract_z
Ca1 0.0000 0.0000 0.0000
Tb1 0.2048 0.0000 0.5092
Tl1 0.0000 0.3060 0.5000
Tl2 0.1527 0.2982 0.0078

# PBE NbRe2HOs, relaxed
# - Energy above the most stable polymorph in this dataset: 0 meV/atom
data_NbRe2HOs
_chemical_formula_sum 'Nb1 Re2 H1 Os1'
_cell_length_a 3.9754
_cell_length_b 3.9754
_cell_length_c 4.0603
_cell_angle_alpha 90.00
_cell_angle_beta 90.00
_cell_angle_gamma 90.00
_symmetry_space_group_name_H-M 'P 4/m m m'
_symmetry_Int_Tables_number 123
_symmetry_space_group_name_Hall '-P 4 2'
loop_
_atom_site_label
_atom_site_fract_x
_atom_site_fract_y
_atom_site_fract_z
Nb1 0.0000 0.0000 0.0000
Re1 0.0000 0.5000 0.5000
H1 0.0000 0.0000 0.5000
Os1 0.5000 0.5000 0.0000

# PBE NbTlCrIr2, relaxed
# - Energy of formation from the pure elements: 2.346 eV/atom
data_NbTlCrIr2
_chemical_formula_sum 'Nb1 Tl1 Cr1 Ir2'
_cell_length_a 4.8397
_cell_length_b 4.8397
_cell_length_c 4.6670
_cell_angle_alpha 90.00
_cell_angle_beta 90.00
_cell_angle_gamma 90.00
_symmetry_space_group_name_H-M 'P 4/m m m'
_symmetry_Int_Tables_number 123
_symmetry_space_group_name_Hall '-P 4 2'
loop_
_atom_site_label
_atom_site_fract_x
_atom_site_fract_y
_atom_site_fract_z
Nb1 0.0000 0.0000 0.0000
Tl1 0.5000 0.5000 0.5000
Cr1 0.5000 0.5000 0.0000
Ir1 0.0000 0.5000 0.5000

# PBE HoIn2Pd2, relaxed
# - Energy above the most stable polymorph in this dataset: 0 meV/atom
# - Energy of formation from the pure elements: -0.680 eV/atom
data_HoIn2Pd2
_chemical_formula_sum 'Ho1 In2 Pd2'
_cell_length_a 4.7874
_cell_length_b 4.7874
_cell_length_c 5.5060
_cell_angle_alpha 90.00
_cell_angle_beta 90.00
_cell_angle_gamma 120.00
_symmetry_space_group_name_H-M 'P -3 m 1'
_symmetry_Int_Tables_number 164
_symmetry_space_group_name_Hall '-P 3 2"'
loop_
_atom_site_label
_atom_site_fract_x
_atom_site_fract_y
_atom_site_fract_z
Ho1 0.0000 0.0000 0.0000
In1 0.3333 0.6667 0.6457
Pd1 0.3333 0.6667 0.1532

# PBE PPb, relaxed
# - Energy of formation from the pure elements: 0.331 eV/atom
data_PPb
_chemical_formula_sum 'P2 Pb2'
_cell_length_a 4.2899
_cell_length_b 4.5346
_cell_length_c 5.7824
_cell_angle_alpha 90.00
_cell_angle_beta 90.00
_cell_angle_gamma 90.00
_symmetry_space_group_name_H-M 'P m m n'
_symmetry_Int_Tables_number 59
loop_
_symmetry_equiv_pos_as_xyz
'x,y,z'
'-x,-y,-z'
'-x+1/2,-y+1/2,z'
'x+1/2,y+1/2,-z'
'x+1/2,-y,-z'
'-x+1/2,y,z'
'-x,y+1/2,-z'
'x,-y+1/2,z'
loop_
_atom_site_label
_atom_site_fract_x
_atom_site_fract_y
_atom_site_fract_z
P1 0.2500 0.2500 0.0088
Pb1 0.2500 0.7500 0.3089

# PBE In3Ni, relaxed
# - Energy of formation from the pure elements: -0.012 eV/atom
data_In3Ni
_chemical_formula_sum 'In3 Ni1'
_cell_length_a 3.1675
_cell_length_b 4.9454
_cell_length_c 6.5999
_cell_angle_alpha 68.53
_cell_angle_beta 89.24
_cell_angle_gamma 71.48
_symmetry_space_group_name_H-M 'P 1'
_symmetry_Int_Tables_number 1
loop_
_symmetry_equiv_pos_as_xyz
'x,y,z'
loop_
_atom_site_label
_atom_site_fract_x
_atom_site_fract_y
_atom_site_fract_z
In1 0.0000 0.0000 0.0000
In2 0.1563 0.6462 0.7040
In3 0.3392 0.2981 0.3524
Ni1 0.6156 0.7479 0.3547

# PBE Pr2DyHo4Sc, relaxed
# - Energy of formation from the pure elements: 0.419 eV/atom
data_Pr2DyHo4Sc
_chemical_formula_sum 'Pr8 Dy4 Ho16 Sc4'
_cell_length_a 13.5483
_cell_length_b 13.1024
_cell_length_c 6.7567
_cell_angle_alpha 90.00
_cell_angle_beta 119.89
_cell_angle_gamma 90.00
_symmetry_space_group_name_H-M 'C 1 2/c 1'
_symmetry_Int_Tables_number 15
loop_
_symmetry_equiv_pos_as_xyz
'x,y,z'
'-x,-y,-z'
'-x,y,-z+1/2'
'x,-y,z+1/2'
'x+1/2,y+1/2,z'
'-x+1/2,-y+1/2,-z'
'-x+1/2,y+1/2,-z+1/2'
'x+1/2,-y+1/2,z+1/2'
loop_
_atom_site_label
_atom_site_fract_x
_atom_site_fract_y
_atom_site_fract_z
Pr1 0.0000 0.0000 0.0000
Pr2 0.2500 0.2500 0.0000
Dy1 0.2500 0.2500 0.5000
Ho1 0.9999 0.2646 0.0008
Ho2 0.2331 0.4987 0.4817
Sc1 0.0000 0.5000 0.0000

# PBE ScCdIr2, relaxed
# - Energy of formation from the pure elements: -0.257 eV/atom
data_ScCdIr2
_chemical_formula_sum 'Sc2 Cd2 Ir4'
_cell_length_a 9.2270
_cell_length_b 2.9739
_cell_length_c 5.0356
_cell_angle_alpha 90.00
_cell_angle_beta 102.49
_cell_angle_gamma 90.00
_symmetry_space_group_name_H-M 'C 1 2/m 1'
_symmetry_Int_Tables_number 12
loop_
_symmetry_equiv_pos_as_xyz
'x,y,z'
'-x,-y,-z'
'-x,y,-z'
'x,-y,z'
'x+1/2,y+1/2,z'
'-x+1/2,-y+1/2,-z'
'-x+1/2,y+1/2,-z'
'x+1/2,-y+1/2,z'
loop_
_atom_site_label
_atom_site_fract_x
_atom_site_fract_y
_atom_site_fract_z
Sc1 0.0000 0.0000 0.0000
Cd1 0.0000 0.5000 0.5000
Ir1 0.2441 0.5000 0.2501

# PBE AcSbP2, relaxed
# - Energy above the most stable polymorph in this dataset: 0 meV/atom
data_AcSbP2
_chemical_formula_sum 'Ac3 Sb3 P6'
_cell_length_a 4.2501
_cell_length_b 4.2501
_cell_length_c 20.7972
_cell_angle_alpha 90.00
_cell_angle_beta 90.00
_cell_angle_gamma 120.00
_symmetry_space_group_name_H-M 'R -3 m'
_symmetry_Int_Tables_number 166
_symmetry_space_group_name_Hall '-R 3 2"'
loop_
_atom_site_label
_atom_site_fract_x
_atom_site_fract_y
_atom_site_fract_z
Ac1 0.0000 0.0000 0.0000
Sb1 0.0000 0.0000 0.5000
P1 0.0000 0.0000 0.2440

# PBE Pr5HoCd6, relaxed
# - Energy of formation from the pure elements: -0.314 eV/atom
data_Pr5HoCd6
_chemical_formula_sum 'Pr10 Ho2 Cd12'
_cell_length_a 5.4376
_cell_length_b 16.3585
_cell_length_c 7.7475
_cell_angle_alpha 90.00
_cell_angle_beta 90.00
_cell_angle_gamma 90.00
_symmetry_space_group_name_H-M 'C m m m'
_symmetry_Int_Tables_number 65
_symmetry_space_group_name_Hall '-C 2 2'
loop_
_atom_site_label
_atom_site_fract_x
_atom_site_fract_y
_atom_site_fract_z
Pr1 0.0000 0.0000 0.0000
Pr2 0.0000 0.3307 0.0000
Pr3 0.0000 0.3341 0.5000
Ho1 0.0000 0.0000 0.5000
Cd1 0.0000 0.1623 0.2560
Cd2 0.0000 0.5000 0.2576

# PBE CaSm2In, relaxed
# - Energy above the most stable polymorph in this dataset: 49 meV/atom
# - Energy of formation from the pure elements: -0.177 eV/atom
data_CaSm2In
_chemical_formula_sum 'Ca4 Sm8 In4'
_cell_length_a 7.8798
_cell_length_b 7.8798
_cell_length_c 7.8798
_cell_angle_alpha 90.00
_cell_angle_beta 90.00
_cell_angle_gamma 90.00
_symmetry_space_group_name_H-M 'F m -3 m'
_symmetry_Int_Tables_number 225
_symmetry_space_group_name_Hall '-F 4 2 3'
loop_
_atom_site_label
_atom_site_fract_x
_atom_site_fract_y
_atom_site_fract_z
Ca1 0.0000 0.0000 0.0000
Sm1 0.2500 0.2500 0.2500
In1 0.0000 0.0000 0.5000